DFT (GGA+U) results for Li3FeSi6O15 after structural relaxation. Values from VASP.

Values from the calculation:
Electronic total energy   -726.7 eV for the cell shown
Space-group type   No. 192

Structure (Quantum ESPRESSO input):
```
&SYSTEM
  ibrav = 0, nat = 100, ntyp = 4
/
ATOMIC_SPECIES
Li 6.94 Li.upf
Fe 55.84 Fe.upf
Si 28.09 Si.upf
O 16.00 O.upf
CELL_PARAMETERS angstrom
10.029 0.000 0.000
-5.014 8.685 0.000
0.000 0.000 14.622
ATOMIC_POSITIONS angstrom
Li 0.000 0.000 3.656
Li 0.000 0.000 10.967
Li -2.507 4.342 3.656
Li -2.507 4.342 10.967
Li 0.000 5.790 0.000
Li 0.000 5.790 7.311
Li 5.014 0.000 3.656
Li 5.014 0.000 10.967
Li 2.507 4.342 3.656
Li 2.507 4.342 10.967
Li 5.014 2.895 0.000
Li 5.014 2.895 7.311
Fe 0.000 5.790 3.656
Fe 0.000 5.790 10.967
Fe 5.014 2.895 3.656
Fe 5.014 2.895 10.967
Si -0.579 3.161 1.559
Si -0.579 3.161 13.063
Si -2.566 6.603 5.752
Si -2.566 6.603 8.870
Si 0.579 3.161 5.752
Si 0.579 3.161 8.870
Si -1.987 7.606 1.559
Si -1.987 7.606 13.063
Si 3.027 1.079 5.752
Si 3.027 1.079 8.870
Si 2.448 2.082 1.559
Si 2.448 2.082 13.063
Si 2.566 6.603 1.559
Si 2.566 6.603 13.063
Si 1.987 7.606 5.752
Si 1.987 7.606 8.870
Si 7.001 1.079 1.559
Si 7.001 1.079 13.063
Si 4.435 5.524 5.752
Si 4.435 5.524 8.870
Si 7.580 2.082 5.752
Si 7.580 2.082 8.870
Si 5.593 5.524 1.559
Si 5.593 5.524 13.063
O -0.859 2.409 5.534
O -0.859 2.409 9.088
O -3.357 6.736 1.777
O -3.357 6.736 12.845
O -0.605 3.756 0.000
O -2.064 6.283 7.311
O -0.898 4.381 2.529
O -0.898 4.381 12.093
O -1.669 5.717 4.782
O -1.669 5.717 9.840
O 0.859 2.409 1.777
O 0.859 2.409 12.845
O -2.498 8.224 5.534
O -2.498 8.224 9.088
O 2.516 0.461 1.777
O 2.516 0.461 12.845
O 1.657 1.949 5.534
O 1.657 1.949 9.088
O 0.605 3.756 7.311
O -1.459 7.331 0.000
O 0.898 4.381 4.782
O 0.898 4.381 9.840
O -0.771 7.272 2.529
O -0.771 7.272 12.093
O 3.555 1.354 7.311
O 2.950 2.402 0.000
O 1.669 5.717 2.529
O 1.669 5.717 12.093
O 0.771 7.272 4.782
O 0.771 7.272 9.840
O 4.243 1.413 4.782
O 4.243 1.413 9.840
O 3.345 2.968 2.529
O 3.345 2.968 12.093
O 2.064 6.283 0.000
O 1.459 7.331 7.311
O 5.785 1.413 2.529
O 5.785 1.413 12.093
O 4.116 4.304 4.782
O 4.116 4.304 9.840
O 6.474 1.354 0.000
O 4.409 4.929 7.311
O 3.357 6.736 5.534
O 3.357 6.736 9.088
O 2.498 8.224 1.777
O 2.498 8.224 12.845
O 7.512 0.461 5.534
O 7.512 0.461 9.088
O 4.155 6.276 1.777
O 4.155 6.276 12.845
O 6.683 2.968 4.782
O 6.683 2.968 9.840
O 5.912 4.304 2.529
O 5.912 4.304 12.093
O 7.078 2.402 7.311
O 5.619 4.929 0.000
O 8.371 1.949 1.777
O 8.371 1.949 12.845
O 5.873 6.276 5.534
O 5.873 6.276 9.088
```